DFT (PBE-GGA) results for a relaxed Zr2TaFe crystal.

Energy of formation from the pure elements (eV/atom): -0.042
Relative energy among the computed polymorphs (meV/atom): 0
Theoretical density (g cm⁻³): 9.4
Calculated total energy (eV/atom): -9.395

a = 3.140 Å, b = 3.140 Å, c = 7.518 Å
α = 90.00°, β = 90.00°, γ = 90.00°
Space group P4mm (No. 99)
Symmetry-distinct sites (fractional):
Zr 0.000 0.000 0.000
Zr 0.500 0.500 0.308
Ta 0.500 0.500 0.722
Fe 0.000 0.000 0.542